The following is a GGA+U calculation of a relaxed La2CdMoO6 crystal, from Alexandria via LeMat-Bulk.

Results
Space-group type: P2_1/c, No. 14
N(E_F), states/eV/cell: 0.0
Size of the total moment, μB/cell: 4.000
DFT total energy, eV per atom: -7.2456

Structure (POSCAR):
```
La2CdMoO6
1.0
-2.588 -1.274 4.990
-4.072 -3.326 -2.961
4.786 -6.682 0.925
La Cd Mo O
4 2 2 12
Cartesian
-2.667 -4.854 -2.448
-0.014 -7.562 1.639
0.793 -6.427 5.402
-1.860 -3.719 1.314
-1.294 -0.637 2.495
0.357 -5.004 -1.018
1.099 -3.978 2.957
-2.036 -1.663 -1.480
-3.282 -3.060 -0.470
-2.714 -7.471 2.101
1.408 -8.221 3.424
0.840 -3.810 0.852
-1.708 -5.679 -0.090
-0.877 -9.876 2.673
-0.167 -5.602 3.043
-0.997 -1.406 0.281
-3.406 -4.503 2.960
-1.335 -8.527 -0.248
1.532 -6.779 -0.006
-0.539 -2.754 3.202
```